1.
VASP calculation (PBE-GGA) on a relaxed structure of CrSbOs4.

Properties
Formation energy from raw total energies ... 826 meV/atom

Unit cell a=5.230 b=5.230 c=5.230 alpha=60.00 beta=60.00 gamma=60.00
Fractional positions:
Cr1 0.000 0.000 0.000
Sb1 0.250 0.250 0.250
Os1 0.123 0.626 0.626
Os2 0.626 0.123 0.626
Os3 0.626 0.626 0.123
Os4 0.626 0.626 0.626

***

2.
VASP calculation (PBE-GGA) on a relaxed structure of Ca4Pa3HgN8.

Properties
Formation energy from raw total energies ... -1160 meV/atom

Unit cell a=7.033 b=7.033 c=7.033 alpha=60.55 beta=60.55 gamma=60.55
Fractional positions:
Ca1 0.000 0.000 0.000
Ca2 0.000 0.500 0.500
Ca3 0.500 0.000 0.500
Ca4 0.500 0.500 0.000
Pa1 0.000 0.000 0.500
Pa2 0.000 0.500 0.000
Pa3 0.500 0.000 0.000
Hg1 0.500 0.500 0.500
N1 0.205 0.758 0.758
N2 0.240 0.240 0.240
N3 0.242 0.242 0.795
N4 0.242 0.795 0.242
N5 0.758 0.205 0.758
N6 0.758 0.758 0.205
N7 0.760 0.760 0.760
N8 0.795 0.242 0.242

***

3.
VASP calculation (PBE-GGA) on a relaxed structure of VIrN2.

Properties
Formation energy from raw total energies ... -126 meV/atom
Relative energy among the computed polymorphs ... 78 meV per atom

Unit cell a=5.558 b=5.558 c=5.558 alpha=131.85 beta=131.85 gamma=70.46
Fractional positions:
V1 0.000 0.000 0.000
V2 0.750 0.250 0.500
Ir1 0.250 0.750 0.500
Ir2 0.500 0.500 0.000
N1 0.094 0.625 0.969
N2 0.375 0.344 0.469
N3 0.656 0.125 0.031
N4 0.875 0.906 0.531

***

4.
VASP calculation (PBE-GGA) on a relaxed structure of La2MgAlFe.

Properties
Formation enthalpy at 0 K ... -0.5 eV per formula unit

Unit cell a=5.227 b=5.227 c=4.829 alpha=90.00 beta=90.00 gamma=90.00
Fractional positions:
La1 0.000 0.500 0.000
La2 0.500 0.000 0.000
Mg1 0.000 0.000 0.500
Al1 0.500 0.500 0.500
Fe1 0.500 0.500 0.000

***

5.
VASP calculation (PBE-GGA) on a relaxed structure of Ho8Tm3Th2.

Properties
Formation enthalpy at 0 K ... 3.6 eV per formula unit
Relative energy among the computed polymorphs ... 187 meV per atom

Unit cell a=10.979 b=10.979 c=5.604 alpha=90.00 beta=90.00 gamma=141.14
Fractional positions:
Ho1 0.139 0.861 0.000
Ho2 0.172 0.389 0.500
Ho3 0.335 0.665 0.000
Ho4 0.389 0.172 0.500
Ho5 0.611 0.828 0.500
Ho6 0.665 0.335 0.000
Ho7 0.828 0.611 0.500
Ho8 0.861 0.139 0.000
Tm1 0.000 0.000 0.500
Tm2 0.271 0.271 0.000
Tm3 0.729 0.729 0.000
Th1 0.246 0.754 0.500
Th2 0.754 0.246 0.500

***

6.
VASP calculation (PBE-GGA) on a relaxed structure of SmErTm2Sb4.

Properties
Formation energy from raw total energies ... -1096 meV/atom

Unit cell a=7.579 b=7.579 c=7.579 alpha=131.83 beta=131.83 gamma=70.50
Fractional positions:
Sm1 0.000 0.000 0.000
Er1 0.500 0.500 0.000
Tm1 0.250 0.750 0.500
Tm2 0.750 0.250 0.500
Sb1 0.000 0.500 0.500
Sb2 0.253 0.253 0.000
Sb3 0.500 0.000 0.500
Sb4 0.747 0.747 0.000